A plane-wave DFT calculation with PBE-GGA was carried out for RbNi2Sn2 after structural relaxation.

Output
**D(E_F)**: 3.2 states/eV per cell
**ΔE to the lowest computed polymorph**: 0 meV per atom
**DFT formation energy**: 0.089 eV/atom

a b c (Å): 4.5902 4.5902 7.1769
angles (deg): 71.35 71.35 90.00
With the nearest neighbours (Å) after each atom.
Atoms (fractional coordinates):
Ni: 0.6597 0.6597 0.6805  4 Sn 2.57
Sn: 0.7500 0.2500 0.5000  4 Ni 2.57
Rb: 0.0000 0.0000 0.0000  8 Ni 3.84, 8 Sn 3.94
Sn: 0.2500 0.7500 0.5000  4 Ni 2.57
Ni: 0.3403 0.3403 0.3195  4 Sn 2.57

=====

A plane-wave DFT calculation with PBE-GGA was carried out for K2TaMo after structural relaxation.

Output
**D(E_F)**: 3.3 states/eV per cell
**ΔE to the lowest computed polymorph**: 240 meV per atom
**DFT formation energy**: 1.014 eV/atom

a b c (Å): 4.6933 4.6933 10.4765
angles (deg): 87.06 87.06 38.88
With the nearest neighbours (Å) after each atom.
Atoms (fractional coordinates):
K: 0.9899 0.9899 0.0792  2 K 3.12
Ta: 0.2349 0.2349 0.3566  3 Mo 2.51-2.52
Mo: 0.5129 0.5129 0.3933  3 Ta 2.51-2.52
K: 0.7623 0.7623 0.6708  2 K 3.12

=====

Question: Number 1 is which compound?
Answer: RbNi2Sn2